[1]
Here is NaYBiF2 after structural relaxation from the Alexandria database. Energies are from PBE.

Geometry as CIF:
```
data_NaYBiF2
_chemical_formula_sum 'Na1 Y1 Bi1 F2'
_symmetry_space_group_name_H-M 'P 4/m m m'
_symmetry_Int_Tables_number 123
_symmetry_space_group_name_Hall '-P 4 2'
_cell_length_a 4.414
_cell_length_b 4.414
_cell_length_c 6.555
_cell_angle_alpha 90.00
_cell_angle_beta 90.00
_cell_angle_gamma 90.00
loop_
_atom_site_label
_atom_site_fract_x
_atom_site_fract_y
_atom_site_fract_z
Na1 0.000 0.000 0.000
Y1 0.500 0.500 0.500
Bi1 0.500 0.500 0.000
F1 0.000 0.500 0.500
```

ΔE to the lowest computed polymorph (meV per atom): 0
E_tot (Ry/atom): -0.392
Crystal system: tetragonal
M_tot (μB/f.u.): 0.00
Formation energy without anion corrections (eV/atom): -2.26

[2]
Here is La6TmZn after structural relaxation from the Alexandria database. Energies are from PBE.

Geometry as CIF:
```
data_La6TmZn
_chemical_formula_sum 'La12 Tm2 Zn2'
_symmetry_space_group_name_H-M 'C 1 2/m 1'
_symmetry_Int_Tables_number 12
_cell_length_a 6.786
_cell_length_b 11.617
_cell_length_c 6.845
_cell_angle_alpha 90.00
_cell_angle_beta 99.28
_cell_angle_gamma 90.00
loop_
_symmetry_equiv_pos_as_xyz
'x,y,z'
'-x,-y,-z'
'-x,y,-z'
'x,-y,z'
'x+1/2,y+1/2,z'
'-x+1/2,-y+1/2,-z'
'-x+1/2,y+1/2,-z'
'x+1/2,-y+1/2,z'
loop_
_atom_site_label
_atom_site_fract_x
_atom_site_fract_y
_atom_site_fract_z
La1 0.137 0.211 0.262
La2 0.242 0.500 0.069
Tm1 0.000 0.500 0.500
Zn1 0.000 0.000 0.500
```

Energy of formation (eV/atom): -0.05
E_tot (Ry/atom): -0.328
Crystal system: monoclinic
M_tot (μB/f.u.): 0.00

[3]
Here is NdPuFe after structural relaxation from the Alexandria database. Energies are from PBE.

Geometry as CIF:
```
data_NdPuFe
_chemical_formula_sum 'Nd2 Pu2 Fe2'
_symmetry_space_group_name_H-M 'I 4 m m'
_symmetry_Int_Tables_number 107
_symmetry_space_group_name_Hall 'I 4 -2'
_cell_length_a 3.486
_cell_length_b 3.486
_cell_length_c 11.337
_cell_angle_alpha 90.00
_cell_angle_beta 90.00
_cell_angle_gamma 90.00
loop_
_atom_site_label
_atom_site_fract_x
_atom_site_fract_y
_atom_site_fract_z
Nd1 0.000 0.000 0.000
Pu1 0.000 0.000 0.283
Fe1 0.000 0.000 0.693
```

ΔE to the lowest computed polymorph (meV per atom): 96
Energy of formation (eV/atom): 0.13
E_tot (Ry/atom): -0.666
Crystal system: tetragonal
M_tot (μB/f.u.): 3.82

[4]
Here is Th4S6Cl after structural relaxation from the Alexandria database. Energies are from PBE.

Geometry as CIF:
```
data_Th4S6Cl
_chemical_formula_sum 'Th4 S6 Cl1'
_symmetry_space_group_name_H-M 'P -6 m 2'
_symmetry_Int_Tables_number 187
_symmetry_space_group_name_Hall 'P -6 2'
_cell_length_a 8.5819
_cell_length_b 8.5819
_cell_length_c 4.0278
_cell_angle_alpha 90.00
_cell_angle_beta 90.00
_cell_angle_gamma 120.00
loop_
_atom_site_label
_atom_site_fract_x
_atom_site_fract_y
_atom_site_fract_z
Th1 0.0000 0.0000 0.0000
Th2 0.0363 0.5182 0.5000
S1 0.2048 0.4096 0.0000
S2 0.2774 0.1387 0.5000
Cl1 0.6667 0.3333 0.0000
```

E_tot (Ry/atom): -0.515
Crystal system: hexagonal
M_tot (μB/f.u.): 0.00
Formation energy without anion corrections (eV/atom): -1.89

> E_tot of number 2 (La6TmZn)?

-0.328 Ry/atom

> What is the formula in the fourth record?

Th4S6Cl

> Among the records above, which one has the highest M_tot?

NdPuFe